1.
# Y3Tm2Zn3

Y3Tm2Zn3 after structural relaxation (PBE-GGA, the Alexandria database).

a b c (Å): 3.579 5.167 21.380
angles (deg): 90.00 90.00 90.00
Space group Immm (No. 71)
One atom of each set of equivalent atoms:
Y 0.000 0.000 0.000 (multiplicity 2)
Y 0.000 0.500 0.119 (multiplicity 4)
Tm 0.000 0.000 0.229 (multiplicity 4)
Zn 0.000 0.000 0.500 (multiplicity 2)
Zn 0.000 0.500 0.383 (multiplicity 4)

Summary:
Raw total energy ... -0.3150 Ry/atom
Formation enthalpy at 0 K ... -0.27 eV/atom

2.
# Y6Tm2Zn

Y6Tm2Zn after structural relaxation (PBE-GGA, the Alexandria database).

a b c (Å): 10.052 10.064 5.341
angles (deg): 90.00 90.00 90.00
Space group Pnnm (No. 58)
One atom of each set of equivalent atoms:
Y 0.042 0.186 0.000 (multiplicity 4)
Y 0.121 0.621 0.500 (multiplicity 4)
Y 0.186 0.957 0.500 (multiplicity 4)
Tm 0.216 0.283 0.500 (multiplicity 4)
Zn 0.000 0.500 0.000 (multiplicity 2)

Summary:
Raw total energy ... -0.3995 Ry/atom
Formation enthalpy at 0 K ... 0.01 eV/atom

3.
# Y2Tm2Zn3

Y2Tm2Zn3 after structural relaxation (PBE-GGA, the Alexandria database).

a b c (Å): 4.955 4.962 8.591
angles (deg): 73.28 73.33 60.18
Space group P-1 (No. 2)
One atom of each set of equivalent atoms:
Y 0.126 0.127 0.122 (multiplicity 2)
Tm 0.377 0.377 0.370 (multiplicity 2)
Zn 0.000 0.000 0.500 (multiplicity 1)
Zn 0.252 0.252 0.742 (multiplicity 2)

Summary:
Raw total energy ... -0.2850 Ry/atom
Formation enthalpy at 0 K ... -0.21 eV/atom

4.
# YTm2Zn

YTm2Zn after structural relaxation (PBE-GGA, the Alexandria database).

a b c (Å): 3.5706 3.5706 30.3410
angles (deg): 90.00 90.00 120.00
Space group R3m (No. 160, hexagonal axes)
One atom of each set of equivalent atoms:
Y 0.0000 0.0000 0.0000 (multiplicity 3)
Tm 0.0000 0.0000 0.5716 (multiplicity 3)
Tm 0.0000 0.0000 0.7612 (multiplicity 3)
Zn 0.0000 0.0000 0.1659 (multiplicity 3)

Summary:
Raw total energy ... -0.3114 Ry/atom
Offset from the most stable computed form ... 102.1 meV/atom
Formation enthalpy at 0 K ... -0.07 eV/atom

5.
# Y2TmZn3

Y2TmZn3 after structural relaxation (PBE-GGA, the Alexandria database).

a b c (Å): 5.0339 5.0339 6.1793
angles (deg): 90.00 90.00 120.00
Space group P-3m1 (No. 164)
One atom of each set of equivalent atoms:
Y 0.3333 0.6667 0.1716 (multiplicity 2)
Tm 0.0000 0.0000 0.5000 (multiplicity 1)
Zn 0.0000 0.0000 0.0000 (multiplicity 1)
Zn 0.3333 0.6667 0.6665 (multiplicity 2)

Summary:
Raw total energy ... -0.2863 Ry/atom
Formation enthalpy at 0 K ... -0.36 eV/atom

6.
# YTmZn

YTmZn after structural relaxation (PBE-GGA, the Alexandria database).

a b c (Å): 4.926 4.926 6.958
angles (deg): 90.00 90.00 90.00
Space group I-4m2 (No. 119)
One atom of each set of equivalent atoms:
Y 0.000 0.000 0.000 (multiplicity 2)
Tm 0.000 0.000 0.500 (multiplicity 2)
Zn 0.000 0.500 0.250 (multiplicity 2)

Summary:
Raw total energy ... -0.2983 Ry/atom
Offset from the most stable computed form ... 231.4 meV/atom
Formation enthalpy at 0 K ... 0.01 eV/atom

7.
# YTmZn3

YTmZn3 after structural relaxation (PBE-GGA, the Alexandria database).

a b c (Å): 3.605 26.561 4.447
angles (deg): 90.00 90.00 90.00
Space group Cmcm (No. 63)
One atom of each set of equivalent atoms:
Y 0.000 0.073 0.250 (multiplicity 4)
Tm 0.000 0.210 0.750 (multiplicity 4)
Zn 0.000 0.327 0.750 (multiplicity 4)
Zn 0.000 0.380 0.250 (multiplicity 4)
Zn 0.000 0.477 0.250 (multiplicity 4)

Summary:
Raw total energy ... -0.2430 Ry/atom
Formation enthalpy at 0 K ... -0.35 eV/atom

8.
# YTm3Zn

YTm3Zn after structural relaxation (PBE-GGA, the Alexandria database).

a b c (Å): 11.423 8.312 7.623
angles (deg): 90.00 124.96 90.00
Space group C2/m (No. 12)
One atom of each set of equivalent atoms:
Y 0.048 0.000 0.305 (multiplicity 4)
Tm 0.082 0.500 0.273 (multiplicity 4)
Tm 0.187 0.299 0.714 (multiplicity 8)
Zn 0.229 0.500 0.064 (multiplicity 4)

Summary:
Raw total energy ... -0.3074 Ry/atom
Formation enthalpy at 0 K ... 0.05 eV/atom